# InSbOs2

A relaxed structure of InSbOs2 (PBE, the Alexandria database).

## Properties
total magnetic moment	0.0	Bohr magnetons per cell
space-group type	No. 166
E	-26.8	eV per cell
energy relative to the elements, uncorrected	0.64	eV/atom

abc: 8.6928 8.6928 8.6928
angles: 20.58 20.58 20.58
Fractional coordinates of all 4 atoms:
In1 0.7500 0.7500 0.7500
Os1 0.5040 0.5040 0.5040
Os2 0.9960 0.9960 0.9960
Sb1 0.2500 0.2500 0.2500